Compound: AlAgSn
Source: the Alexandria database
Functional: PBE
Structure: optimized geometry

Summary:
Its formation energy is 0.067 eV/atom. Its crystal system is triclinic. The value obtained for the total DFT energy (no corrections) is -3.465 eV/atom.

Lattice parameters (Å, degrees): 3.1262 6.4437 6.4951 95.92 92.26 91.96
Last column: nearest neighbours and their distance in Å.
Space group P1 (No. 1)
One atom of each set of equivalent atoms:
Al 0.0000 0.0000 0.0000  2 Al 2.65-2.70, 3 Ag 2.69-2.80, 1 Sn 2.90
Al 0.4851 0.9652 0.6641  2 Al 2.65-2.70, 3 Ag 2.69-2.80, 1 Sn 2.90
Ag 0.0082 0.1697 0.4025  3 Al 2.69-2.80, 2 Sn 2.89-2.99, 2 Ag 2.92-2.95
Ag 0.4773 0.7956 0.2617  3 Al 2.69-2.80, 2 Sn 2.89-2.99, 2 Ag 2.92-2.95
Sn 0.5817 0.5164 0.6116  3 Ag 2.89-3.06, 1 Al 2.90, 3 Sn 3.08-3.13
Sn 0.9065 0.4489 0.0529  3 Ag 2.89-3.05, 1 Al 2.90, 3 Sn 3.08-3.13

***

Compound: Pm3Os2C4
Source: the Alexandria database
Functional: PBE
Structure: optimized geometry

Summary:
Its formation energy is 0.090 eV/atom. Its crystal system is monoclinic. The value obtained for the total DFT energy (no corrections) is -8.088 eV/atom.

Lattice parameters (Å, degrees): 12.0629 3.4293 7.0308 90.00 94.61 90.00
Last column: nearest neighbours and their distance in Å.
Space group C2/m (No. 12)
One atom of each set of equivalent atoms:
Pm 0.0000 0.0000 0.0000  6 C 2.62-2.81
Pm 0.1295 0.5000 0.5298  4 C 2.53-2.58
Os 0.2315 0.5000 0.1540  3 C 1.98-2.07
C 0.1487 0.5000 0.8983  1 Os 1.98
C 0.1774 0.0000 0.2845  2 Os 2.07

***

Compound: Tl12Hg5Sb2
Source: the Alexandria database
Functional: PBE
Structure: optimized geometry

Summary:
Its crystal system is triclinic. The value obtained for the total DFT energy (no corrections) is -1.988 eV/atom.

Lattice parameters (Å, degrees): 8.3662 8.7920 8.7930 66.15 89.36 89.40
Last column: nearest neighbours and their distance in Å.
Space group P-1 (No. 2)
One atom of each set of equivalent atoms:
Tl 0.1136 0.1142 0.1144  2 Sb 3.27, 3 Hg 3.27-3.63, 4 Tl 3.46-3.52
Tl 0.2376 0.6467 0.0174  1 Sb 3.26, 2 Hg 3.34-3.40, 5 Tl 3.43-3.63
Tl 0.2399 0.0179 0.6498  1 Sb 3.26, 2 Hg 3.35-3.39, 5 Tl 3.43-3.62
Tl 0.2838 0.4395 0.4390  2 Hg 3.22-3.24, 4 Tl 3.28-3.43, 2 Sb 3.33
Tl 0.3585 0.8192 0.4006  5 Tl 3.28-3.67, 4 Hg 3.43-3.49, 1 Sb 3.43
Tl 0.3601 0.3992 0.8186  5 Tl 3.28-3.65, 4 Hg 3.41-3.49, 1 Sb 3.43
Hg 0.0416 0.6786 0.6770  6 Tl 3.24-3.49, 2 Sb 3.42
Hg 0.4366 0.2379 0.2370  8 Tl 3.22-3.49, 1 Hg 3.53
Hg 0.5000 0.0000 0.0000  10 Tl 3.41-3.77, 2 Hg 3.53
Sb 0.0001 0.2741 0.7262  8 Tl 3.26-3.43, 2 Hg 3.42

***

Compound: PuAlSe4
Source: the Alexandria database
Functional: PBE
Structure: optimized geometry

Summary:
Its crystal system is orthorhombic. The value obtained for the total DFT energy (no corrections) is -6.107 eV/atom.

Lattice parameters (Å, degrees): 9.2548 7.4303 9.1641 90.00 90.00 90.00
Last column: nearest neighbours and their distance in Å.
Space group Cmcm (No. 63)
One atom of each set of equivalent atoms:
Pu 0.0000 0.0928 0.2500  8 Se 2.91-3.09
Al 0.0000 0.4278 0.7500  4 Se 2.39-2.40
Se 0.0000 0.2178 0.5504  1 Al 2.40
Se 0.2108 0.3858 0.2500  1 Al 2.39

***

Compound: Be2RhPb
Source: the Alexandria database
Functional: PBE
Structure: optimized geometry

Summary:
Its formation energy is 0.121 eV/atom. Its crystal system is orthorhombic. The value obtained for the total DFT energy (no corrections) is -4.507 eV/atom.

Lattice parameters (Å, degrees): 3.0362 3.1976 6.1965 90.00 90.00 90.00
Last column: nearest neighbours and their distance in Å.
Space group Pmm2 (No. 25)
One atom of each set of equivalent atoms:
Be 0.0000 0.0000 0.0000  1 Rh 2.12
Be 0.5000 0.5000 0.2000  4 Rh 2.38, 4 Be 2.53
Rh 0.0000 0.0000 0.3429  5 Be 2.12-2.38
Pb 0.5000 0.5000 0.6932  6 Be 2.91-3.14, 4 Pb 3.04-3.20, 4 Rh 3.09

***

Compound: La2MgZn7
Source: the Alexandria database
Functional: PBE
Structure: optimized geometry

Summary:
Its formation energy is -0.301 eV/atom. Its crystal system is tetragonal. The value obtained for the total DFT energy (no corrections) is -2.338 eV/atom.

Lattice parameters (Å, degrees): 4.3126 4.3126 11.1371 90.00 90.00 90.00
Last column: nearest neighbours and their distance in Å.
Space group P-4m2 (No. 115)
One atom of each set of equivalent atoms:
La 0.0000 0.5000 0.2328  12 Zn 3.28-3.37
Mg 0.0000 0.0000 0.5000  4 Zn 2.71
Zn 0.0000 0.0000 0.0000  4 Zn 2.57
Zn 0.0000 0.5000 0.6480  3 Zn 2.53-2.71, 2 Mg 2.71
Zn 0.0000 0.5000 0.8748  5 Zn 2.53-2.57
Zn 0.5000 0.5000 0.0000  4 Zn 2.57
Zn 0.5000 0.5000 0.5000  4 Zn 2.71

***

Compound: MgAgRu2
Source: the Alexandria database
Functional: PBE
Structure: optimized geometry

Summary:
Its formation energy is 0.330 eV/atom. Its crystal system is monoclinic. The value obtained for the total DFT energy (no corrections) is -5.419 eV/atom.

Lattice parameters (Å, degrees): 5.3795 9.5340 2.7509 90.00 117.43 90.00
Last column: nearest neighbours and their distance in Å.
Space group C2/m (No. 12)
One atom of each set of equivalent atoms:
Mg 0.0000 0.0000 0.0000  4 Ag 2.69-2.83, 2 Mg 2.75, 4 Ru 2.77
Ag 0.0000 0.5000 0.0000  4 Mg 2.69-2.83, 2 Ag 2.75, 4 Ru 2.77
Ru 0.2500 0.2500 0.5000  6 Ru 2.69-2.83, 2 Mg 2.77, 2 Ag 2.77

***

Compound: ScCuHg
Source: the Alexandria database
Functional: PBE
Structure: optimized geometry

Summary:
Its formation energy is -0.242 eV/atom. Its crystal system is hexagonal. The value obtained for the total DFT energy (no corrections) is -3.818 eV/atom. As for the polymorph energy (0 for the lowest one): 37 meV per atom.

Lattice parameters (Å, degrees): 4.5401 4.5401 3.1594 90.00 90.00 120.00
Last column: nearest neighbours and their distance in Å.
Space group P-6m2 (No. 187)
One atom of each set of equivalent atoms:
Sc 0.0000 0.0000 0.0000  6 Hg 3.06, 6 Cu 3.06, 2 Sc 3.16
Cu 0.3333 0.6667 0.5000  3 Hg 2.62
Hg 0.6667 0.3333 0.5000  3 Cu 2.62

***

Compound: MnIrW2
Source: the Alexandria database
Functional: PBE
Structure: optimized geometry

Summary:
Its formation energy is 0.015 eV/atom. Its crystal system is monoclinic. The value obtained for the total DFT energy (no corrections) is -10.969 eV/atom. As for the polymorph energy (0 for the lowest one): 59 meV per atom.

Lattice parameters (Å, degrees): 2.7352 4.4109 4.8920 90.00 95.22 90.00
Last column: nearest neighbours and their distance in Å.
Space group Pm (No. 6)
One atom of each set of equivalent atoms:
Mn 0.0000 0.0000 0.0000  5 W 2.56-2.86, 2 Ir 2.70, 2 Mn 2.74
Ir 0.0240 0.5000 0.6845  7 W 2.65-2.86, 2 Mn 2.70, 2 Ir 2.74
W 0.4278 0.0000 0.4875  3 Mn 2.56-2.86, 4 Ir 2.68-2.86, 4 W 2.74-2.78
W 0.6244 0.5000 0.1702  4 Mn 2.60-2.87, 3 Ir 2.65-2.76, 4 W 2.74-2.78

***

Compound: CsNa2PrI6
Source: the Alexandria database
Functional: PBE
Structure: optimized geometry

Summary:
Its crystal system is triclinic. The value obtained for the total DFT energy (no corrections) is -3.130 eV/atom.

Lattice parameters (Å, degrees): 8.3547 8.3556 9.1189 62.73 62.75 60.03
Last column: nearest neighbours and their distance in Å.
Space group P1 (No. 1)
One atom of each set of equivalent atoms:
Cs 0.0000 0.0000 0.0000  6 I 3.78-4.06
Na 0.2018 0.2016 0.3947  6 I 3.22-3.31
Na 0.7197 0.7210 0.8383  6 I 3.29-3.35
Pr 0.5289 0.5297 0.4121  6 I 3.17-3.18
I 0.1340 0.7867 0.6212  1 Pr 3.17, 2 Na 3.29-3.31
I 0.3910 0.5263 0.1413  1 Pr 3.18, 2 Na 3.22-3.35
I 0.4572 0.1347 0.6212  1 Pr 3.17, 2 Na 3.29-3.30
I 0.5258 0.9414 0.1413  1 Pr 3.18, 2 Na 3.22-3.35
I 0.7864 0.4578 0.6212  1 Pr 3.17, 2 Na 3.29-3.31
I 0.9405 0.3916 0.1415  1 Pr 3.18, 2 Na 3.23-3.35

***

Compound: TaNb2N
Source: the Alexandria database
Functional: PBE
Structure: optimized geometry

Summary:
Its crystal system is orthorhombic. The value obtained for the total DFT energy (no corrections) is -10.639 eV/atom.

Lattice parameters (Å, degrees): 2.9639 4.6991 8.7616 90.00 90.00 90.00
Last column: nearest neighbours and their distance in Å.
Space group Amm2 (No. 38)
One atom of each set of equivalent atoms:
Ta 0.0000 0.0000 0.0000  2 N 2.09
Nb 0.0000 0.0000 0.3433  2 N 2.13
Nb 0.5000 0.0000 0.6724  2 N 2.35
N 0.5000 0.0000 0.1686  2 Ta 2.09, 2 Nb 2.13

***

Compound: La2Zn5Pd2Rh
Source: the Alexandria database
Functional: PBE
Structure: optimized geometry

Summary:
Its formation energy is -0.425 eV/atom. Its crystal system is tetragonal. The value obtained for the total DFT energy (no corrections) is -3.821 eV/atom.

Lattice parameters (Å, degrees): 10.1258 10.1258 3.7263 90.00 90.00 90.00
Last column: nearest neighbours and their distance in Å.
Space group P4/mbm (No. 127)
One atom of each set of equivalent atoms:
La 0.1826 0.3174 0.0000  3 Pd 2.81-3.14
Zn 0.0000 0.5000 0.5000  4 Pd 2.54
Zn 0.0488 0.8161 0.5000  2 Rh 2.68, 2 Zn 2.72, 2 Pd 2.81
Pd 0.1210 0.6210 0.0000  6 Zn 2.54-2.81, 1 La 2.81
Rh 0.0000 0.0000 0.0000  8 Zn 2.68